The following is a DFT calculation (GGA+U) of crystalline SrFeF3 at its relaxed geometry.

total moment: 3.02 μB per formula unit
polymorph energy (0 for the lowest one): 0.004 eV/atom
space-group type: No. 221
D(E_F): 1.982 states/eV per atom

abc: 4.704 4.704 4.704
angles: 90.00 90.00 90.00
Fractional coordinates of all 5 atoms:
Sr: 0.000 0.000 0.000
Fe: 0.500 0.500 0.500
F: 0.000 0.500 0.000
F: 0.000 0.000 0.500
F: 0.500 0.000 0.000